1.
This record from Alexandria via LeMat-Bulk describes a geometry-optimized Pm3SmHo2Er6 structure. The functional is PBE.

The structure in CIF format:
```
data_Pm3SmHo2Er6
_symmetry_space_group_name_H-M 'P 1'
_symmetry_Int_Tables_number 1
_symmetry_space_group_name_Hall 'P 1'
_cell_length_a 6.1616
_cell_length_b 6.1616
_cell_length_c 11.7330
_cell_angle_alpha 95.01
_cell_angle_beta 95.01
_cell_angle_gamma 119.97
loop_
_atom_site_label
_atom_site_fract_x
_atom_site_fract_y
_atom_site_fract_z
Pm1 0.5000 0.5000 0.5000
Pm2 0.1668 0.8332 0.5000
Er1 0.4167 0.0831 0.2479
Sm1 0.0000 0.0000 0.0000
Er2 0.9169 0.5833 0.7521
Ho1 0.3332 0.6668 0.0000
Ho2 0.6668 0.3332 0.0000
Er3 0.2507 0.2507 0.7522
Er4 0.5833 0.9169 0.7521
Er5 0.7493 0.7493 0.2478
Er6 0.0831 0.4167 0.2479
Pm3 0.8332 0.1668 0.5000
```

Results
- Space-group type: C2/m, No. 12
- Energy: -4.61 eV/atom
- Density: 8.4 Mg/m³
- ΔE_f: 0.22 eV per formula unit



2.
This record from Alexandria via LeMat-Bulk describes a geometry-optimized Pm6Sm2Ho3Er structure. The functional is PBE.

The structure in CIF format:
```
data_Pm6Sm2Ho3Er
_symmetry_space_group_name_H-M 'P 1'
_symmetry_Int_Tables_number 1
_symmetry_space_group_name_Hall 'P 1'
_cell_length_a 6.2493
_cell_length_b 6.2493
_cell_length_c 11.8860
_cell_angle_alpha 95.02
_cell_angle_beta 95.02
_cell_angle_gamma 119.99
loop_
_atom_site_label
_atom_site_fract_x
_atom_site_fract_y
_atom_site_fract_z
Sm1 0.3332 0.6668 0.0000
Sm2 0.6668 0.3332 0.0000
Pm1 0.9159 0.5834 0.7482
Pm2 0.7514 0.7514 0.2520
Ho1 0.1665 0.8335 0.5000
Er1 0.0000 0.0000 0.0000
Pm3 0.4166 0.0841 0.2518
Pm4 0.5834 0.9159 0.7482
Pm5 0.2486 0.2486 0.7480
Ho2 0.8335 0.1665 0.5000
Ho3 0.5000 0.5000 0.5000
Pm6 0.0841 0.4166 0.2518
```

Results
- Space-group type: C2/m, No. 12
- Energy: -4.67 eV/atom
- Density: 7.7 Mg/m³
- ΔE_f: 0.16 eV per formula unit



3.
This record from Alexandria via LeMat-Bulk describes a geometry-optimized Pm5Sm2HoEr structure. The functional is PBE.

The structure in CIF format:
```
data_Pm5Sm2HoEr
_symmetry_space_group_name_H-M 'P 1'
_symmetry_Int_Tables_number 1
_symmetry_space_group_name_Hall 'P 1'
_cell_length_a 8.6058
_cell_length_b 8.6058
_cell_length_c 10.2412
_cell_angle_alpha 114.84
_cell_angle_beta 114.84
_cell_angle_gamma 90.00
loop_
_atom_site_label
_atom_site_fract_x
_atom_site_fract_y
_atom_site_fract_z
Er1 0.7500 0.2500 0.5000
Pm1 0.0725 0.5725 0.7161
Pm2 0.1436 0.0725 0.7161
Ho1 0.7500 0.7500 0.5000
Pm3 0.5000 0.5000 0.0000
Pm4 0.5725 0.6436 0.7161
Pm5 0.8564 0.9275 0.2839
Er2 0.2500 0.7500 0.5000
Pm6 0.4275 0.3564 0.2839
Pm7 0.3564 0.8564 0.2839
Pm8 0.6436 0.1436 0.7161
Pm9 0.9275 0.4275 0.2839
Sm1 0.8793 0.6207 0.0000
Pm10 0.0000 0.0000 0.0000
Sm2 0.3793 0.8793 0.0000
Sm3 0.1207 0.3793 0.0000
Sm4 0.6207 0.1207 0.0000
Ho2 0.2500 0.2500 0.5000
```

Results
- Space-group type: I4/mcm, No. 140
- Energy: -4.42 eV/atom
- Density: 7.4 Mg/m³
- ΔE_f: 2.58 eV per formula unit



4.
This record from Alexandria via LeMat-Bulk describes a geometry-optimized PmSm2Ho5Er structure. The functional is PBE.

The structure in CIF format:
```
data_PmSm2Ho5Er
_symmetry_space_group_name_H-M 'P 1'
_symmetry_Int_Tables_number 1
_symmetry_space_group_name_Hall 'P 1'
_cell_length_a 8.7230
_cell_length_b 8.7230
_cell_length_c 9.8176
_cell_angle_alpha 116.38
_cell_angle_beta 116.38
_cell_angle_gamma 90.00
loop_
_atom_site_label
_atom_site_fract_x
_atom_site_fract_y
_atom_site_fract_z
Ho1 0.8461 0.9278 0.2739
Sm1 0.3840 0.8840 0.0000
Ho2 0.5000 0.5000 0.0000
Pm1 0.7500 0.7500 0.5000
Sm2 0.1160 0.3840 0.0000
Sm3 0.6160 0.1160 0.0000
Ho3 0.0722 0.5722 0.7261
Ho4 0.6539 0.1539 0.7261
Ho5 0.5722 0.6539 0.7261
Ho6 0.9278 0.4278 0.2739
Ho7 0.3461 0.8461 0.2739
Sm4 0.8840 0.6160 0.0000
Er1 0.2500 0.7500 0.5000
Er2 0.7500 0.2500 0.5000
Pm2 0.2500 0.2500 0.5000
Ho8 0.1539 0.0722 0.7261
Ho9 0.0000 0.0000 0.0000
Ho10 0.4278 0.3461 0.2739
```

Results
- Space-group type: I4/mcm, No. 140
- Energy: -4.35 eV/atom
- Density: 8.2 Mg/m³
- ΔE_f: 2.49 eV per formula unit